# 1
PBE Tb4Ga2Ir, optimized geometry; crystal system = tetragonal; space group = No. 139; formation energy from the elements = -391 kJ/mol of formula units
1.0
-0.7206 -2.2862 4.2940
-1.3392 -4.0809 -2.3974
7.8142 0.9792 -0.9833
Tb Ga Ir
4 2 1
Direct
0.1176 0.6176 0.2352 Tb
0.3824 0.8827 0.7648 Tb
0.6176 0.1173 0.2352 Tb
0.8824 0.3824 0.7648 Tb
0.7439 0.7435 0.4879 Ga
0.2561 0.2565 0.5121 Ga
0.0000 0.0000 0.0000 Ir

***

# 2
PBE Tb4GaIr, optimized geometry; energy relative to the lowest polymorph listed for this composition = 0 meV per atom; crystal system = cubic; space group = No. 216; formation energy from the elements = -332 kJ/mol of formula units
1.0
8.2749 0.0000 4.7775
2.7583 7.8016 4.7775
0.0000 0.0000 9.5550
Ir Tb Ga
4 16 4
Direct
0.6080 0.1760 0.6080 Ir
0.1760 0.6080 0.6080 Ir
0.6080 0.6080 0.1760 Ir
0.6080 0.6080 0.6080 Ir
0.8099 0.3967 0.3967 Tb
0.8110 0.1890 0.1890 Tb
0.5549 0.5549 0.9451 Tb
0.3967 0.3967 0.3967 Tb
0.3967 0.8099 0.3967 Tb
0.9451 0.9451 0.5549 Tb
0.9451 0.5549 0.9451 Tb
0.3967 0.3967 0.8099 Tb
0.1890 0.8110 0.8110 Tb
0.1890 0.1890 0.8110 Tb
0.5549 0.9451 0.5549 Tb
0.8110 0.8110 0.1890 Tb
0.9451 0.5549 0.5549 Tb
0.1890 0.8110 0.1890 Tb
0.5549 0.9451 0.9451 Tb
0.8110 0.1890 0.8110 Tb
0.1679 0.1679 0.4963 Ga
0.1679 0.1679 0.1679 Ga
0.4963 0.1679 0.1679 Ga
0.1679 0.4963 0.1679 Ga

***

# 3
PBE TbGa4Ir2, optimized geometry; energy relative to the lowest polymorph listed for this composition = 77 meV per atom; crystal system = tetragonal; space group = No. 136; formation energy from the elements = -378 kJ/mol of formula units
1.0
4.4060 0.0000 0.0000
0.0000 7.4730 0.0000
0.0000 0.0000 7.4730
Ga Ir Tb
8 4 2
Direct
0.0000 0.9079 0.6616 Ga
0.5000 0.1616 0.5921 Ga
0.5000 0.5921 0.1616 Ga
0.0000 0.3384 0.0921 Ga
0.5000 0.8384 0.4079 Ga
0.0000 0.0921 0.3384 Ga
0.5000 0.4079 0.8384 Ga
0.0000 0.6616 0.9079 Ga
0.5000 0.7250 0.7250 Ir
0.5000 0.2750 0.2750 Ir
0.0000 0.7750 0.2250 Ir
0.0000 0.2250 0.7750 Ir
0.5000 0.0000 0.0000 Tb
0.0000 0.5000 0.5000 Tb

***

# 4
PBE Tb2GaIr, optimized geometry; crystal system = trigonal; space group = No. 166; formation energy from the elements = 46 kJ/mol of formula units
1.0
3.2566 0.0000 0.0000
1.6283 2.8203 0.0000
1.6283 0.9401 9.9896
Ir Tb Ga
1 2 1
Direct
0.0000 0.0000 0.0000 Ir
0.0872 0.0872 0.7385 Tb
0.9128 0.9128 0.2615 Tb
0.5000 0.5000 0.5000 Ga

***

# 5
PBE Tb2GaIr3, optimized geometry; crystal system = hexagonal; space group = No. 194; formation energy from the elements = -479 kJ/mol of formula units
1.0
-4.6112 -1.6624 -2.6249
4.1326 -3.6062 0.9131
-3.3511 -2.0249 7.1693
Ga Ir Tb
2 6 4
Direct
0.0000 0.0000 0.0000 Ga
0.0000 0.0000 0.5000 Ga
0.8293 0.6586 0.7500 Ir
0.6586 0.8293 0.2500 Ir
0.1707 0.3414 0.2500 Ir
0.1707 0.8293 0.2500 Ir
0.8293 0.1707 0.7500 Ir
0.3414 0.1707 0.7500 Ir
0.6667 0.3333 0.4369 Tb
0.3333 0.6667 0.9369 Tb
0.3333 0.6667 0.5631 Tb
0.6667 0.3333 0.0631 Tb

***

# 6
PBE Tb3Ga2Ir2, optimized geometry; crystal system = orthorhombic; space group = No. 57; formation energy from the elements = -553 kJ/mol of formula units
1.0
-5.1571 -0.7557 1.9917
-2.4647 -2.0350 -7.1541
2.9713 -13.1313 2.7116
Tb Ir Ga
12 8 8
Direct
0.1506 0.8995 0.9018 Tb
0.8494 0.3995 0.5982 Tb
0.1506 0.8995 0.5982 Tb
0.8494 0.3995 0.9018 Tb
0.3780 0.2355 0.2500 Tb
0.6220 0.7355 0.2500 Tb
0.1506 0.6005 0.0982 Tb
0.6220 0.7645 0.7500 Tb
0.8494 0.1005 0.0982 Tb
0.3780 0.2645 0.7500 Tb
0.1506 0.6005 0.4018 Tb
0.8494 0.1005 0.4018 Tb
0.3507 0.9647 0.0933 Ir
0.3507 0.5353 0.5933 Ir
0.6493 0.4647 0.0933 Ir
0.6493 0.4647 0.4067 Ir
0.3507 0.9647 0.4067 Ir
0.3507 0.5353 0.9067 Ir
0.6493 0.0353 0.9067 Ir
0.6493 0.0353 0.5933 Ir
0.3648 0.2500 0.0000 Ga
0.1199 0.8915 0.2500 Ga
0.8801 0.3915 0.2500 Ga
0.8801 0.1085 0.7500 Ga
0.1199 0.6085 0.7500 Ga
0.6352 0.7500 0.0000 Ga
0.6352 0.7500 0.5000 Ga
0.3648 0.2500 0.5000 Ga